HfTi3In: relaxed, PBE.

Results
Total magnetization = 0.86 μB/cell
E_form = 1027 meV/atom
VASP energy = -31.243 eV per formula unit
Polymorph energy (0 for the lowest one) = 1037.5 meV/atom

CIF file:
```
data_HfTi3In
_chemical_formula_sum 'Hf1 Ti3 In1'
_cell_length_a 4.862
_cell_length_b 4.862
_cell_length_c 4.862
_cell_angle_alpha 90.00
_cell_angle_beta 90.00
_cell_angle_gamma 90.00
_symmetry_space_group_name_H-M 'P m -3 m'
_symmetry_Int_Tables_number 221
_symmetry_space_group_name_Hall '-P 4 2 3'
loop_
_atom_site_label
_atom_site_type_symbol
_atom_site_fract_x
_atom_site_fract_y
_atom_site_fract_z
Hf1 Hf 0.000 0.000 0.000
Ti1 Ti 0.000 0.000 0.500
In1 In 0.500 0.500 0.500
```